# 1
# TlGeBiPb PBE-GGA relaxed
data_TlGeBiPb
_cell_length_a 7.7004
_cell_length_b 7.7004
_cell_length_c 7.7004
_cell_angle_alpha 90.00
_cell_angle_beta 90.00
_cell_angle_gamma 90.00
_space_group_name_H-M_alt 'F -4 3 m'
_space_group_IT_number 216
_space_group_name_Hall 'F -4 2 3'
loop_
_atom_site_label
_atom_site_type_symbol
_atom_site_fract_x
_atom_site_fract_y
_atom_site_fract_z
Tl1 Tl 0.0000 0.0000 0.0000
Ge1 Ge 0.2500 0.2500 0.2500
Bi1 Bi 0.0000 0.0000 0.5000
Pb1 Pb 0.2500 0.2500 0.7500
# * spin magnetization: 0.000 μB/f.u.
# * formation energy: 181 meV per atom
# * density: 10.1 Mg/m³
# * density of states at the Fermi level: 2.94 states/eV/f.u.
# * crystal system: cubic

# 2
# GeBi2Pd2 PBE-GGA relaxed
data_GeBi2Pd2
_cell_length_a 6.7693
_cell_length_b 6.7693
_cell_length_c 4.8049
_cell_angle_alpha 90.00
_cell_angle_beta 90.00
_cell_angle_gamma 90.00
_space_group_name_H-M_alt 'P 4/m b m'
_space_group_IT_number 127
_space_group_name_Hall '-P 4 2ab'
loop_
_atom_site_label
_atom_site_type_symbol
_atom_site_fract_x
_atom_site_fract_y
_atom_site_fract_z
Ge1 Ge 0.0000 0.0000 0.0000
Bi1 Bi 0.1734 0.3266 0.5000
Pd1 Pd 0.1489 0.6489 0.0000
# * spin magnetization: 0.000 μB/f.u.
# * formation energy: -129 meV per atom
# * density: 10.6 Mg/m³
# * density of states at the Fermi level: 1.38 states/eV/f.u.
# * ΔE to the lowest computed polymorph: 0.000 eV per formula unit
# * crystal system: tetragonal

| no. | E (eV/f.u.) |
| --- | --- |
| 1 | -13.85 |
| 2 | -23.41 |